Record 1
# FeTcPb2 | Alexandria via LeMat-Bulk | PBE | relaxed
# Calculated total energy: -6.2132 eV per atom
# DOS(E_F): 3.01 states/eV/cell
# Excess energy over the best structure of this formula in the dataset: 0 kJ/mol of formula units
data_FeTcPb2
_cell_length_a 3.1632
_cell_length_b 3.1632
_cell_length_c 8.6047
_cell_angle_alpha 90.00
_cell_angle_beta 90.00
_cell_angle_gamma 90.00
_symmetry_space_group_name_H-M 'P 4 m m'
_symmetry_Int_Tables_number 99
loop_
_symmetry_equiv_pos_as_xyz
'x,y,z'
'-y,x,z'
'-x,-y,z'
'y,-x,z'
'-x,y,z'
'y,x,z'
'x,-y,z'
'-y,-x,z'
loop_
_atom_site_label
_atom_site_type_symbol
_atom_site_fract_x
_atom_site_fract_y
_atom_site_fract_z
Fe1 Fe 0.0000 0.0000 0.0000
Tc1 Tc 0.5000 0.5000 0.8617
Pb1 Pb 0.0000 0.0000 0.6189
Pb2 Pb 0.5000 0.5000 0.2269

Record 2
# In2AsPt | Alexandria via LeMat-Bulk | PBE | relaxed
# Calculated total energy: -4.1778 eV per atom
# DOS(E_F): 2.14 states/eV/cell
data_In2AsPt
_cell_length_a 2.9636
_cell_length_b 3.4834
_cell_length_c 8.1299
_cell_angle_alpha 90.00
_cell_angle_beta 90.00
_cell_angle_gamma 90.00
_symmetry_space_group_name_H-M 'P m m m'
_symmetry_Int_Tables_number 47
loop_
_symmetry_equiv_pos_as_xyz
'x,y,z'
'-x,-y,-z'
'-x,-y,z'
'x,y,-z'
'x,-y,-z'
'-x,y,z'
'-x,y,-z'
'x,-y,z'
loop_
_atom_site_label
_atom_site_type_symbol
_atom_site_fract_x
_atom_site_fract_y
_atom_site_fract_z
In1 In 0.0000 0.0000 0.2151
As1 As 0.0000 0.5000 0.5000
Pt1 Pt 0.5000 0.5000 0.0000

Record 3
# Ac2BiTe5 | Alexandria via LeMat-Bulk | PBE | relaxed
# Energy relative to the elements, uncorrected: -0.889 eV/atom
# Calculated total energy: -4.3644 eV per atom
data_Ac2BiTe5
_cell_length_a 6.4913
_cell_length_b 16.7197
_cell_length_c 14.0076
_cell_angle_alpha 90.00
_cell_angle_beta 90.00
_cell_angle_gamma 90.00
_symmetry_space_group_name_H-M 'C m c m'
_symmetry_Int_Tables_number 63
_symmetry_space_group_name_Hall '-C 2c 2'
loop_
_atom_site_label
_atom_site_type_symbol
_atom_site_fract_x
_atom_site_fract_y
_atom_site_fract_z
Ac1 Ac 0.0000 0.1542 0.0628
Bi1 Bi 0.0000 0.1937 0.7500
Te1 Te 0.0000 0.0334 0.6255
Te2 Te 0.0000 0.2763 0.2500
Te3 Te 0.0000 0.3135 0.5812

Question: The highest calculated total energy belongs to which entry?
Answer: In2AsPt

What did the third record say?
# Ac2BiTe5 | Alexandria via LeMat-Bulk | PBE | relaxed
# Energy relative to the elements, uncorrected: -0.889 eV/atom
# Calculated total energy: -4.3644 eV per atom
data_Ac2BiTe5
_cell_length_a 6.4913
_cell_length_b 16.7197
_cell_length_c 14.0076
_cell_angle_alpha 90.00
_cell_angle_beta 90.00
_cell_angle_gamma 90.00
_symmetry_space_group_name_H-M 'C m c m'
_symmetry_Int_Tables_number 63
_symmetry_space_group_name_Hall '-C 2c 2'
loop_
_atom_site_label
_atom_site_type_symbol
_atom_site_fract_x
_atom_site_fract_y
_atom_site_fract_z
Ac1 Ac 0.0000 0.1542 0.0628
Bi1 Bi 0.0000 0.1937 0.7500
Te1 Te 0.0000 0.0334 0.6255
Te2 Te 0.0000 0.2763 0.2500
Te3 Te 0.0000 0.3135 0.5812

Copy entry 3 word for word.
# Ac2BiTe5 | Alexandria via LeMat-Bulk | PBE | relaxed
# Energy relative to the elements, uncorrected: -0.889 eV/atom
# Calculated total energy: -4.3644 eV per atom
data_Ac2BiTe5
_cell_length_a 6.4913
_cell_length_b 16.7197
_cell_length_c 14.0076
_cell_angle_alpha 90.00
_cell_angle_beta 90.00
_cell_angle_gamma 90.00
_symmetry_space_group_name_H-M 'C m c m'
_symmetry_Int_Tables_number 63
_symmetry_space_group_name_Hall '-C 2c 2'
loop_
_atom_site_label
_atom_site_type_symbol
_atom_site_fract_x
_atom_site_fract_y
_atom_site_fract_z
Ac1 Ac 0.0000 0.1542 0.0628
Bi1 Bi 0.0000 0.1937 0.7500
Te1 Te 0.0000 0.0334 0.6255
Te2 Te 0.0000 0.2763 0.2500
Te3 Te 0.0000 0.3135 0.5812

Copy entry 3 word for word.
# Ac2BiTe5 | Alexandria via LeMat-Bulk | PBE | relaxed
# Energy relative to the elements, uncorrected: -0.889 eV/atom
# Calculated total energy: -4.3644 eV per atom
data_Ac2BiTe5
_cell_length_a 6.4913
_cell_length_b 16.7197
_cell_length_c 14.0076
_cell_angle_alpha 90.00
_cell_angle_beta 90.00
_cell_angle_gamma 90.00
_symmetry_space_group_name_H-M 'C m c m'
_symmetry_Int_Tables_number 63
_symmetry_space_group_name_Hall '-C 2c 2'
loop_
_atom_site_label
_atom_site_type_symbol
_atom_site_fract_x
_atom_site_fract_y
_atom_site_fract_z
Ac1 Ac 0.0000 0.1542 0.0628
Bi1 Bi 0.0000 0.1937 0.7500
Te1 Te 0.0000 0.0334 0.6255
Te2 Te 0.0000 0.2763 0.2500
Te3 Te 0.0000 0.3135 0.5812